Here is an optimized crystal structure of RbTaFeO4 from Alexandria via LeMat-Bulk. Energies are from PBE with a Hubbard U.

Summary:
N(E_F) in states/eV/f.u.: 0.000
Uncorrected energy in Ry/atom: -0.5626
Size of the total moment in μB/cell: 8.00

Geometry as POSCAR:
```
RbTaFeO4
1.0
-5.6642 -1.1537 -0.2452
1.2329 -5.6776 -1.7664
-0.1993 -2.5069 7.9184
Rb Ta Fe O
2 2 2 8
Direct
0.8003 0.7500 0.9577
0.1997 0.2500 0.0423
0.3261 0.7500 0.2801
0.6739 0.2500 0.7199
0.8838 0.7500 0.4673
0.1162 0.2500 0.5327
0.8359 0.4922 0.6288
0.1641 0.9922 0.3712
0.1641 0.5078 0.3712
0.8359 0.0078 0.6288
0.2834 0.7500 0.0627
0.7166 0.2500 0.9373
0.6458 0.7500 0.3077
0.3542 0.2500 0.6923
```